! NdSmScGa, relaxed, DFT GGA-PBE; values from VASP
&SYSTEM
  ibrav = 0, nat = 4, ntyp = 4
/
ATOMIC_SPECIES
Sc 44.96 Sc.upf
Nd 144.24 Nd.upf
Ga 69.72 Ga.upf
Sm 150.36 Sm.upf
CELL_PARAMETERS angstrom
-2.5101 -2.2509 -4.1060
2.7869 -1.8421 -4.1311
0.4002 -5.2351 -0.8119
ATOMIC_POSITIONS crystal
Sc 0.2500 0.2500 0.2500
Nd 0.0000 0.0000 0.0000
Ga 0.7500 0.7500 0.7500
Sm 0.5000 0.5000 0.5000
! **Total magnetic moment**: 1.034 μB per formula unit
! **ΔE_f**: -3.297 kcal/mol of atoms



! TbNdScGa, relaxed, DFT GGA-PBE; values from VASP
&SYSTEM
  ibrav = 0, nat = 4, ntyp = 4
/
ATOMIC_SPECIES
Sc 44.96 Sc.upf
Nd 144.24 Nd.upf
Tb 158.93 Tb.upf
Ga 69.72 Ga.upf
CELL_PARAMETERS angstrom
5.2795 0.0000 0.0000
2.6397 4.5722 0.0000
2.6397 1.5241 4.3107
ATOMIC_POSITIONS crystal
Sc 0.7500 0.7500 0.7500
Nd 0.5000 0.5000 0.5000
Tb 0.0000 0.0000 0.0000
Ga 0.2500 0.2500 0.2500
! **Total magnetic moment**: 1.116 μB per formula unit
! **ΔE_f**: -3.342 kcal/mol of atoms



! NdTmScGa, relaxed, DFT GGA-PBE; values from VASP
&SYSTEM
  ibrav = 0, nat = 4, ntyp = 4
/
ATOMIC_SPECIES
Sc 44.96 Sc.upf
Tm 168.93 Tm.upf
Nd 144.24 Nd.upf
Ga 69.72 Ga.upf
CELL_PARAMETERS angstrom
5.2426 0.0000 0.0000
2.6213 4.5402 0.0000
2.6213 1.5134 4.2806
ATOMIC_POSITIONS crystal
Sc 0.7500 0.7500 0.7500
Tm 0.0000 0.0000 0.0000
Nd 0.5000 0.5000 0.5000
Ga 0.2500 0.2500 0.2500
! **Total magnetic moment**: 1.041 μB per formula unit
! **ΔE_f**: -3.137 kcal/mol of atoms



! NdYScGa, relaxed, DFT GGA-PBE; values from VASP
&SYSTEM
  ibrav = 0, nat = 4, ntyp = 4
/
ATOMIC_SPECIES
Y 88.91 Y.upf
Sc 44.96 Sc.upf
Nd 144.24 Nd.upf
Ga 69.72 Ga.upf
CELL_PARAMETERS angstrom
5.2793 0.0000 0.0000
2.6397 4.5720 0.0000
2.6397 1.5240 4.3105
ATOMIC_POSITIONS crystal
Y 0.7500 0.7500 0.7500
Sc 0.5000 0.5000 0.5000
Nd 0.2500 0.2500 0.2500
Ga 0.0000 0.0000 0.0000
! **Total magnetic moment**: 1.171 μB per formula unit
! **ΔE_f**: -3.532 kcal/mol of atoms



! NdSc2Zn2Ga2, relaxed, DFT GGA-PBE; values from VASP
&SYSTEM
  ibrav = 0, nat = 7, ntyp = 4
/
ATOMIC_SPECIES
Nd 144.24 Nd.upf
Sc 44.96 Sc.upf
Zn 65.41 Zn.upf
Ga 69.72 Ga.upf
CELL_PARAMETERS angstrom
-0.5331 4.2734 0.8718
-3.0474 1.2890 2.8911
4.6901 1.2698 7.7165
ATOMIC_POSITIONS crystal
Nd 0.0000 0.0000 0.0000
Sc 0.1313 0.1313 0.6062
Sc 0.8687 0.8687 0.3938
Zn 0.5888 0.5888 0.2337
Zn 0.4112 0.4112 0.7663
Ga 0.7484 0.7484 0.7547
Ga 0.2516 0.2516 0.2453
! **Total magnetic moment**: 0.000 μB per formula unit
! **ΔE_f**: -9.663 kcal/mol of atoms



! Nd3GaSe6, relaxed, DFT GGA-PBE; values from VASP
&SYSTEM
  ibrav = 0, nat = 20, ntyp = 3
/
ATOMIC_SPECIES
Nd 144.24 Nd.upf
Ga 69.72 Ga.upf
Se 78.96 Se.upf
CELL_PARAMETERS angstrom
6.9537 0.0000 0.0000
0.0000 9.1816 0.0404
0.0000 -2.0095 8.9591
ATOMIC_POSITIONS crystal
Nd 0.4857 0.9145 0.7183
Nd 0.9857 0.7183 0.9145
Nd 0.3872 0.4014 0.5986
Nd 0.8872 0.5986 0.4014
Nd 0.9857 0.0855 0.2817
Nd 0.4857 0.2817 0.0855
Ga 0.0225 0.2001 0.7999
Ga 0.5225 0.7999 0.2001
Se 0.1859 0.6930 0.6307
Se 0.6859 0.6307 0.6930
Se 0.1967 0.4303 0.9021
Se 0.6967 0.9021 0.4303
Se 0.1648 0.0402 0.9598
Se 0.6743 0.2187 0.7813
Se 0.1743 0.7813 0.2187
Se 0.6648 0.9598 0.0402
Se 0.1967 0.0979 0.5697
Se 0.6967 0.5697 0.0979
Se 0.1859 0.3693 0.3070
Se 0.6859 0.3070 0.3693
! **Total magnetic moment**: 0.000 μB per formula unit
! **Formation energy from raw total energies**: -1571 meV/atom



! Nd5Ga2Se2, relaxed, DFT GGA-PBE; values from VASP
&SYSTEM
  ibrav = 0, nat = 18, ntyp = 3
/
ATOMIC_SPECIES
Nd 144.24 Nd.upf
Ga 69.72 Ga.upf
Se 78.96 Se.upf
CELL_PARAMETERS angstrom
-3.4710 4.8546 5.2523
-5.9994 1.2013 -5.0751
-5.4839 -3.5230 5.6487
ATOMIC_POSITIONS crystal
Nd 0.0000 0.0000 0.0000
Nd 0.5000 0.5000 0.0000
Nd 0.4687 0.1634 0.7184
Nd 0.8129 0.8366 0.7184
Nd 0.3129 0.6634 0.7184
Nd 0.9687 0.3366 0.7184
Nd 0.5313 0.8366 0.2816
Nd 0.1871 0.1634 0.2816
Nd 0.6871 0.3366 0.2816
Nd 0.0313 0.6634 0.2816
Ga 0.1212 0.3833 0.0000
Ga 0.8788 0.6167 0.0000
Ga 0.3788 0.8833 0.0000
Ga 0.6212 0.1167 0.0000
Se 0.1973 0.0000 0.6054
Se 0.6973 0.5000 0.6054
Se 0.8027 0.0000 0.3946
Se 0.3027 0.5000 0.3946
! **Total magnetic moment**: 0.000 μB per formula unit
! **Formation energy from raw total energies**: -1070 meV/atom



! Nd6GaSe5, relaxed, DFT GGA-PBE; values from VASP
&SYSTEM
  ibrav = 0, nat = 12, ntyp = 3
/
ATOMIC_SPECIES
Nd 144.24 Nd.upf
Se 78.96 Se.upf
Ga 69.72 Ga.upf
CELL_PARAMETERS angstrom
7.2365 -0.0976 -1.3656
-3.8971 6.0983 -1.3656
0.1419 0.2550 7.3635
ATOMIC_POSITIONS crystal
Nd 0.4088 0.0816 0.2461
Nd 0.9184 0.5912 0.7539
Nd 0.2447 0.2447 0.7549
Nd 0.7553 0.7553 0.2451
Nd 0.0816 0.4088 0.2461
Nd 0.5912 0.9184 0.7539
Se 0.8319 0.1681 0.5000
Se 0.6663 0.3337 0.0000
Se 0.5000 0.5000 0.5000
Se 0.3337 0.6663 0.0000
Se 0.1681 0.8319 0.5000
Ga 0.0000 0.0000 0.0000
! **Total magnetic moment**: 0.000 μB per formula unit
! **Formation energy from raw total energies**: -1664 meV/atom



! Nd5GaSe4, relaxed, DFT GGA-PBE; values from VASP
&SYSTEM
  ibrav = 0, nat = 10, ntyp = 3
/
ATOMIC_SPECIES
Nd 144.24 Nd.upf
Ga 69.72 Ga.upf
Se 78.96 Se.upf
CELL_PARAMETERS angstrom
-2.7333 -4.1917 3.3077
-5.0686 -3.8958 -3.6863
3.3576 -6.5705 -0.1129
ATOMIC_POSITIONS crystal
Nd 0.9035 0.3941 0.8009
Nd 0.2976 0.8009 0.6059
Nd 0.7044 0.1991 0.3941
Nd 0.0985 0.6059 0.1991
Nd 0.5012 0.0000 0.0000
Ga 0.0012 0.0000 0.0000
Se 0.4017 0.3999 0.7987
Se 0.8016 0.7987 0.6001
Se 0.2004 0.2013 0.3999
Se 0.6003 0.6001 0.2013
! **Total magnetic moment**: 0.000 μB per formula unit
! **Formation energy from raw total energies**: -1630 meV/atom



! Nd7GaSe5, relaxed, DFT GGA-PBE; values from VASP
&SYSTEM
  ibrav = 0, nat = 26, ntyp = 3
/
ATOMIC_SPECIES
Nd 144.24 Nd.upf
Ga 69.72 Ga.upf
Se 78.96 Se.upf
CELL_PARAMETERS angstrom
-2.5051 1.5136 2.9656
4.6092 -4.5611 3.2943
16.0032 18.9953 3.8232
ATOMIC_POSITIONS crystal
Nd 0.4696 0.9392 0.2498
Nd 0.5310 0.0619 0.7501
Nd 0.6387 0.2774 0.0366
Nd 0.3621 0.7241 0.9634
Nd 0.3622 0.7244 0.5366
Nd 0.6382 0.2763 0.4634
Nd 0.1921 0.3842 0.1796
Nd 0.8087 0.6173 0.8205
Nd 0.8097 0.6195 0.6793
Nd 0.1907 0.3813 0.3207
Nd 0.9115 0.8229 0.1125
Nd 0.0893 0.1786 0.8874
Nd 0.0902 0.1804 0.6131
Nd 0.9101 0.8203 0.3869
Ga 0.8091 0.6182 0.2510
Ga 0.1915 0.3829 0.7492
Se 0.0004 0.0008 0.0000
Se 0.7242 0.4484 0.9279
Se 0.2766 0.5531 0.0722
Se 0.5523 0.1046 0.3569
Se 0.4481 0.8962 0.6431
Se 0.0002 0.0003 0.5000
Se 0.2761 0.5521 0.4280
Se 0.7243 0.4487 0.5720
Se 0.4472 0.8945 0.8569
Se 0.5535 0.1070 0.1431
! **Total magnetic moment**: 0.000 μB per formula unit
! **Formation energy from raw total energies**: -1501 meV/atom



! Nd3GaSe2, relaxed, DFT GGA-PBE; values from VASP
&SYSTEM
  ibrav = 0, nat = 6, ntyp = 3
/
ATOMIC_SPECIES
Nd 144.24 Nd.upf
Ga 69.72 Ga.upf
Se 78.96 Se.upf
CELL_PARAMETERS angstrom
-3.3672 -1.5360 1.9272
-0.5661 -4.1689 -4.3116
5.7844 -1.2130 4.6218
ATOMIC_POSITIONS crystal
Nd 0.5000 0.5000 0.0000
Nd 0.1680 0.1679 0.3358
Nd 0.8320 0.8321 0.6642
Ga 0.5000 0.0000 0.0000
Se 0.1671 0.6669 0.3338
Se 0.8329 0.3331 0.6662
! **Total magnetic moment**: 0.000 μB per formula unit
! **Formation energy from raw total energies**: -1457 meV/atom



! Nd6GaSe4, relaxed, DFT GGA-PBE; values from VASP
&SYSTEM
  ibrav = 0, nat = 22, ntyp = 3
/
ATOMIC_SPECIES
Nd 144.24 Nd.upf
Ga 69.72 Ga.upf
Se 78.96 Se.upf
CELL_PARAMETERS angstrom
4.1493 0.0000 0.0000
-2.0746 7.0061 0.0000
0.0000 0.0000 21.4581
ATOMIC_POSITIONS crystal
Nd 0.5000 0.0000 0.0000
Nd 0.5000 0.0000 0.5000
Nd 0.0544 0.1088 0.3335
Nd 0.9456 0.8912 0.6665
Nd 0.9456 0.8912 0.8335
Nd 0.0544 0.1088 0.1665
Nd 0.7748 0.5497 0.4155
Nd 0.2252 0.4503 0.5845
Nd 0.2252 0.4503 0.9155
Nd 0.7748 0.5497 0.0845
Nd 0.3288 0.6575 0.2500
Nd 0.6712 0.3425 0.7500
Ga 0.6695 0.3390 0.2500
Ga 0.3305 0.6610 0.7500
Se 0.8619 0.7239 0.5413
Se 0.4139 0.8279 0.1260
Se 0.1381 0.2761 0.4587
Se 0.5861 0.1721 0.8740
Se 0.8619 0.7239 0.9587
Se 0.1381 0.2761 0.0413
Se 0.5861 0.1721 0.6260
Se 0.4139 0.8279 0.3740
! **Total magnetic moment**: 0.581 μB per formula unit
! **Formation energy from raw total energies**: -1439 meV/atom